<w>
{"formula": "Sr2LiCdWO6", "functional": "PBE with a Hubbard U", "state": "relaxed", "cell": [[4.3684, 4.4486, 0.1640], [-4.3684, 4.4486, 0.1640], [0.0000, 4.6055, 4.3469]], "species": ["Sr", "Sr", "Li", "Cd", "W", "O", "O", "O", "O", "O", "O"], "frac_coords": [[0.7550, 0.3421, 0.5370], [0.3421, 0.7550, 0.5370], [0.0725, 0.0725, 0.3117], [0.5314, 0.5314, 0.0090], [0.0054, 0.0054, 0.9614], [0.1562, 0.1562, 0.5066], [0.2778, 0.2778, 0.8767], [0.6979, 0.6979, 0.1367], [0.7994, 0.7994, 0.4564], [0.7735, 0.2217, 0.9717], [0.2217, 0.7735, 0.9717]]}

<x>
{"formula": "Sr2LiCdWO6", "functional": "PBE with a Hubbard U", "state": "relaxed", "cell": [[-3.8871, -4.7643, 1.0317], [0.3230, -5.5027, -2.9136], [2.3338, -3.7500, 3.1921]], "species": ["Sr", "Sr", "Li", "Cd", "W", "O", "O", "O", "O", "O", "O"], "frac_coords": [[0.2797, 0.2797, 0.1824], [0.7203, 0.7203, 0.8176], [0.0000, 0.0000, 0.5000], [0.5000, 0.5000, 0.5000], [0.0000, 0.0000, 0.0000], [0.3132, 0.8487, 0.1833], [0.8366, 0.8366, 0.3184], [0.1634, 0.1634, 0.6816], [0.6868, 0.1513, 0.8167], [0.8487, 0.3132, 0.1833], [0.1513, 0.6868, 0.8167]]}

Stability ranking, top entry: <x>; the second entry is 30 meV/atom less favorable.